Material: NaCrOs2Ru
Method: DFT, PBE
State: relaxed

extended XYZ file:
```
5
Lattice="4.416 0.000 0.000 0.000 4.416 0.000 0.000 0.000 4.565" Properties=species:S:1:pos:R:3 pbc="T T T"
Os 0.000 2.208 0.000
Os 2.208 0.000 0.000
Na 0.000 0.000 2.282
Ru 2.208 2.208 2.282
Cr 0.000 0.000 0.000
```

Output
DFT formation energy in eV/atom: 1.90
Symmetry: P4/mmm (123)